1.
A relaxed structure of Zr2BiRuAu. Source: Alexandria via LeMat-Bulk, functional PBE-GGA.

Lattice parameters (Å, degrees): 5.118 4.972 5.118 90.00 90.00 90.00
Atoms (fractional coordinates):
Ru1 0.000 0.500 0.000
Au1 0.000 0.000 0.000
Bi1 0.500 0.500 0.500
Zr1 0.000 0.000 0.500
Zr2 0.500 0.000 0.000

Calculated values
ΔH_f (0 K) = 750 meV/atom
crystal system = tetragonal
DFT total energy = -5.96 eV per atom
space-group type = No. 123


2.
A relaxed structure of Bi2Au2S. Source: Alexandria via LeMat-Bulk, functional PBE-GGA.

Lattice parameters (Å, degrees): 7.895 7.895 4.044 90.00 90.00 90.00
Atoms (fractional coordinates):
S1 0.000 0.000 0.000
S2 0.500 0.500 0.000
Au1 0.124 0.624 0.500
Au2 0.624 0.876 0.500
Au3 0.876 0.376 0.500
Au4 0.376 0.124 0.500
Bi1 0.308 0.808 0.000
Bi2 0.808 0.692 0.000
Bi3 0.692 0.192 0.000
Bi4 0.192 0.308 0.000

Calculated values
crystal system = tetragonal
excess energy over the best structure of this formula in the dataset = 2.6 meV/atom
DFT total energy = -3.63 eV per atom
space-group type = No. 127


3.
A relaxed structure of BiAuS. Source: Alexandria via LeMat-Bulk, functional PBE-GGA.

Lattice parameters (Å, degrees): 4.027 4.027 4.982 90.00 90.00 120.00
Atoms (fractional coordinates):
S1 0.333 0.667 0.696
Au1 0.000 0.000 0.978
Bi1 0.667 0.333 0.326

Calculated values
crystal system = trigonal
DFT total energy = -3.85 eV per atom
space-group type = No. 156


4.
A relaxed structure of Bi2AuS4. Source: Alexandria via LeMat-Bulk, functional PBE-GGA.

Lattice parameters (Å, degrees): 6.793 6.793 6.033 124.26 124.26 90.00
Atoms (fractional coordinates):
Bi1 0.750 0.250 0.500
Bi2 0.250 0.750 0.500
Au1 0.500 0.500 0.000
S1 0.748 0.252 0.000
S2 0.252 0.748 0.000
S3 0.748 0.748 0.000
S4 0.252 0.252 0.000

Calculated values
crystal system = tetragonal
DFT total energy = -4.03 eV per atom
space-group type = No. 139


5.
A relaxed structure of BiAuS3. Source: Alexandria via LeMat-Bulk, functional PBE-GGA.

Lattice parameters (Å, degrees): 6.416 6.416 6.416 67.90 67.90 67.90
Atoms (fractional coordinates):
Bi1 0.201 0.201 0.201
Au1 0.960 0.960 0.960
S1 0.619 0.172 0.172
S2 0.172 0.619 0.172
S3 0.172 0.172 0.619

Calculated values
crystal system = trigonal
excess energy over the best structure of this formula in the dataset = 0.0 meV/atom
DFT total energy = -3.67 eV per atom
space-group type = No. 160


6.
A relaxed structure of Bi2Au2S. Source: Alexandria via LeMat-Bulk, functional PBE-GGA.

Lattice parameters (Å, degrees): 3.881 3.881 8.484 76.78 76.78 90.00
Atoms (fractional coordinates):
S1 0.000 0.000 0.000
Au1 0.750 0.250 0.500
Au2 0.250 0.750 0.500
Bi1 0.398 0.398 0.204
Bi2 0.602 0.602 0.796

Calculated values
crystal system = tetragonal
excess energy over the best structure of this formula in the dataset = 0.0 meV/atom
DFT total energy = -3.64 eV per atom
space-group type = No. 139


7.
A relaxed structure of Bi2Au2S5. Source: Alexandria via LeMat-Bulk, functional PBE-GGA.

Lattice parameters (Å, degrees): 4.156 8.322 6.793 96.52 90.00 104.46
Atoms (fractional coordinates):
Bi1 0.437 0.874 0.693
Bi2 0.563 0.126 0.307
Au1 0.148 0.296 0.877
Au2 0.852 0.704 0.123
S1 0.321 0.643 0.934
S2 0.679 0.357 0.066
S3 0.140 0.280 0.508
S4 0.860 0.720 0.492
S5 0.000 0.000 0.000

Calculated values
crystal system = monoclinic
DFT total energy = -3.89 eV per atom
space-group type = No. 12


8.
A relaxed structure of BiAuS3. Source: Alexandria via LeMat-Bulk, functional PBE-GGA.

Lattice parameters (Å, degrees): 4.825 4.825 4.825 90.00 90.00 90.00
Atoms (fractional coordinates):
S1 0.000 0.500 0.000
S2 0.000 0.000 0.500
S3 0.500 0.000 0.000
Au1 0.000 0.000 0.000
Bi1 0.500 0.500 0.500

Calculated values
crystal system = cubic
excess energy over the best structure of this formula in the dataset = 163.1 meV/atom
DFT total energy = -3.50 eV per atom
space-group type = No. 221